KLaF3 | GGA-PBE | relaxed

Cell lengths 4.633, 4.633, 4.633 Å; angles 90.00, 90.00, 90.00 degrees
Positions (direct):
K  0.000  0.000  0.000
La  0.500  0.500  0.500
F  0.000  0.000  0.500
F  0.000  0.500  0.000
F  0.500  0.000  0.000

Distance to the lowest polymorph of the same formula   0.709 eV/atom
Uncorrected formation energy   -2.387 eV per atom
Total magnetization   0.20 μB per atom